1.
DFT (PBE) results for LiCaCu2 after structural relaxation.

The structure in extended XYZ format:
```
4
Lattice="5.2583 0.0755 0.0020 1.9255 4.8937 -0.0020 -3.2652 -2.9569 2.8725" Properties=species:S:1:pos:R:3 pbc="T T T"
Ca 1.0327 2.1461 1.4352
Cu 6.9415 4.8015 0.0000
Cu 2.9803 -0.0685 1.4372
Li 3.7399 2.5870 0.0000
```

Calculated values
As for the magnetic moment: 0.00 μB/cell. As for the calculated formation energy: 0.029 eV/atom. For the polymorph energy (0 for the lowest one), the calculation gives 0.094 eV/atom. The value obtained for the total energy is -2.998 eV/atom.

2.
DFT (PBE) results for LiCaCu2 after structural relaxation.

The structure in extended XYZ format:
```
4
Lattice="0.0000 3.3454 3.3454 3.3454 0.0000 3.3454 3.3454 3.3454 0.0000" Properties=species:S:1:pos:R:3 pbc="T T T"
Ca 3.3454 3.3454 3.3454
Cu 1.6727 1.6727 1.6727
Cu 5.0181 5.0181 5.0181
Li 0.0000 0.0000 0.0000
```

Calculated values
As for the magnetic moment: 0.00 μB/cell. As for the calculated formation energy: 0.043 eV/atom. For the polymorph energy (0 for the lowest one), the calculation gives 0.108 eV/atom. The value obtained for the total energy is -2.984 eV/atom.

3.
DFT (PBE) results for LiCa2Cu after structural relaxation.

The structure in extended XYZ format:
```
4
Lattice="9.0177 -0.0463 -0.0276 8.1274 3.9072 -0.0276 8.1274 1.8302 3.4521" Properties=species:S:1:pos:R:3 pbc="T T T"
Ca 24.8008 5.5849 3.3335
Ca 13.1078 2.9517 1.7618
Cu 6.3181 1.4228 0.8492
Li 18.9543 4.2683 2.5477
```

Calculated values
As for the magnetic moment: 0.00 μB/cell. As for the calculated formation energy: 0.070 eV/atom. The value obtained for the total energy is -2.433 eV/atom.

4.
DFT (PBE) results for LiCa8Cu2 after structural relaxation.

The structure in extended XYZ format:
```
11
Lattice="5.8278 0.1604 -0.9120 -1.8517 7.5322 -3.0609 0.1389 0.0134 8.3374" Properties=species:S:1:pos:R:3 pbc="T T T"
Li -0.0023 0.0231 0.0156
Ca 2.8165 2.6139 -0.9732
Ca 3.3421 0.6286 2.0365
Ca 0.5036 2.9546 1.8610
Ca 5.4713 2.0466 4.6366
Ca 4.4603 5.8652 -1.1522
Ca 3.6001 4.7981 2.5363
Ca 0.7612 7.1244 2.3610
Ca 1.2869 5.1391 5.3707
Cu 1.6799 5.2795 0.0716
Cu 2.4229 2.4733 4.3258
```

Calculated values
As for the magnetic moment: 0.00 μB/cell. As for the calculated formation energy: -0.008 eV/atom. The value obtained for the total energy is -2.382 eV/atom.

5.
DFT (PBE) results for Li14CaCu after structural relaxation.

The structure in extended XYZ format:
```
16
Lattice="6.3025 -0.6254 0.0000 -3.0455 5.5531 0.0000 0.0000 0.0000 9.9191" Properties=species:S:1:pos:R:3 pbc="T T T"
Li -0.8584 4.1076 0.0000
Li 3.5961 1.1634 0.0000
Li -1.4743 2.6926 4.9595
Li 0.5898 1.4002 0.0000
Li 0.2020 5.2288 4.9595
Li 2.2000 3.8363 0.0000
Li 2.0493 0.4732 7.4598
Li 2.0493 0.4732 2.4593
Li 3.6248 2.8570 7.4598
Li 3.6248 2.8570 2.4593
Li 0.6138 3.1345 7.0892
Li 0.6138 3.1345 2.8299
Li 5.0361 0.2116 7.7283
Li 5.0361 0.2116 2.1908
Ca -2.9796 5.5096 4.9595
Cu 2.1322 2.1309 4.9595
```

Calculated values
As for the magnetic moment: 0.00 μB/cell. As for the calculated formation energy: 0.030 eV/atom. The value obtained for the total energy is -2.025 eV/atom.

6.
DFT (PBE) results for LiCa2Cu after structural relaxation.

The structure in extended XYZ format:
```
4
Lattice="-0.5846 3.4088 -1.2316 1.0668 -1.0305 -3.3587 -7.4313 -1.9149 -1.7729" Properties=species:S:1:pos:R:3 pbc="T T T"
Ca -0.2448 -0.0631 -0.0584
Ca -3.4708 -0.8944 -0.8280
Cu -1.6167 0.7104 -2.7383
Li -5.3323 -0.2471 -3.6248
```

Calculated values
As for the magnetic moment: 0.00 μB/cell. As for the calculated formation energy: -0.029 eV/atom. The value obtained for the total energy is -2.533 eV/atom.

7.
DFT (PBE) results for LiCa3Cu after structural relaxation.

The structure in extended XYZ format:
```
10
Lattice="4.1027 0.0000 0.0000 0.0000 8.1830 -3.3114 0.0000 -0.0806 9.2747" Properties=species:S:1:pos:R:3 pbc="T T T"
Li 3.0771 5.8595 3.2820
Li 1.0257 2.2429 2.6813
Ca 1.0257 4.8984 0.7600
Ca 3.0771 3.2040 5.2034
Ca 1.0257 0.2908 6.2199
Ca 3.0771 1.8402 -0.2444
Ca 3.0771 7.8116 -0.2566
Ca 1.0257 6.2621 6.2078
Cu 3.0771 4.7871 -1.4353
Cu 1.0257 3.3152 7.3986
```

Calculated values
As for the magnetic moment: 0.00 μB/cell. As for the calculated formation energy: -0.037 eV/atom. For the polymorph energy (0 for the lowest one), the calculation gives 0.000 eV/atom. The value obtained for the total energy is -2.440 eV/atom.

8.
DFT (PBE) results for LiCaCu2 after structural relaxation.

The structure in extended XYZ format:
```
4
Lattice="-2.9808 -1.2019 -0.8735 1.2877 -3.0608 -0.1826 -1.5054 -1.0239 6.5461" Properties=species:S:1:pos:R:3 pbc="T T T"
Ca -2.0368 -2.9409 4.6477
Cu -0.0984 -0.0669 0.4280
Cu -1.1794 -2.3577 0.9192
Li -0.6366 -0.4330 2.7681
```

Calculated values
As for the magnetic moment: 0.00 μB/cell. As for the calculated formation energy: 0.060 eV/atom. For the polymorph energy (0 for the lowest one), the calculation gives 0.126 eV/atom. The value obtained for the total energy is -2.967 eV/atom.